# PBE Ta2ZnRu, optimized geometry
data_Ta2ZnRu
_chemical_formula_sum 'Ta2 Zn1 Ru1'
_cell_length_a 2.989
_cell_length_b 3.858
_cell_length_c 5.583
_cell_angle_alpha 90.00
_cell_angle_beta 90.00
_cell_angle_gamma 90.00
_symmetry_space_group_name_H-M 'P 1'
_symmetry_Int_Tables_number 1
_symmetry_space_group_name_Hall 'P 1'
loop_
_atom_site_label
_atom_site_fract_x
_atom_site_fract_y
_atom_site_fract_z
Ta1 0.000 0.000 0.243
Ta2 0.000 0.000 0.757
Zn1 0.500 0.500 0.500
Ru1 0.500 0.500 0.000
# ΔE_f: -0.097 eV per atom
# Final energy: -8.66 eV per atom

# PBE Ta2ZnRu, optimized geometry
data_Ta2ZnRu
_chemical_formula_sum 'Ta2 Zn1 Ru1'
_cell_length_a 4.774
_cell_length_b 4.774
_cell_length_c 2.970
_cell_angle_alpha 90.00
_cell_angle_beta 90.00
_cell_angle_gamma 108.56
_symmetry_space_group_name_H-M 'P 1'
_symmetry_Int_Tables_number 1
_symmetry_space_group_name_Hall 'P 1'
loop_
_atom_site_label
_atom_site_fract_x
_atom_site_fract_y
_atom_site_fract_z
Ta1 0.000 0.500 0.000
Ta2 0.500 0.000 0.000
Zn1 0.000 0.000 0.500
Ru1 0.500 0.500 0.500
# ΔE_f: -0.096 eV per atom
# Final energy: -8.66 eV per atom

# PBE ZrTaRu, optimized geometry
data_ZrTaRu
_chemical_formula_sum 'Zr2 Ta2 Ru2'
_cell_length_a 7.311
_cell_length_b 7.311
_cell_length_c 4.610
_cell_angle_alpha 90.00
_cell_angle_beta 90.00
_cell_angle_gamma 154.25
_symmetry_space_group_name_H-M 'P 1'
_symmetry_Int_Tables_number 1
_symmetry_space_group_name_Hall 'P 1'
loop_
_atom_site_label
_atom_site_fract_x
_atom_site_fract_y
_atom_site_fract_z
Zr1 0.081 0.919 0.750
Zr2 0.919 0.081 0.250
Ta1 0.242 0.758 0.250
Ta2 0.758 0.242 0.750
Ru1 0.414 0.586 0.750
Ru2 0.586 0.414 0.250
# ΔE_f: -0.414 eV per atom
# ΔE to the lowest computed polymorph: 0.00 eV per formula unit
# Final energy: -10.31 eV per atom

# PBE ZrTaRu, optimized geometry
data_ZrTaRu
_chemical_formula_sum 'Zr2 Ta2 Ru2'
_cell_length_a 5.459
_cell_length_b 5.459
_cell_length_c 5.523
_cell_angle_alpha 90.00
_cell_angle_beta 90.00
_cell_angle_gamma 135.19
_symmetry_space_group_name_H-M 'P 1'
_symmetry_Int_Tables_number 1
_symmetry_space_group_name_Hall 'P 1'
loop_
_atom_site_label
_atom_site_fract_x
_atom_site_fract_y
_atom_site_fract_z
Zr1 0.213 0.787 0.750
Zr2 0.787 0.213 0.250
Ta1 0.500 0.500 0.000
Ta2 0.500 0.500 0.500
Ru1 0.078 0.922 0.250
Ru2 0.922 0.078 0.750
# ΔE_f: -0.168 eV per atom
# ΔE to the lowest computed polymorph: 0.74 eV per formula unit
# Final energy: -10.06 eV per atom

# PBE ZrTaRu, optimized geometry
data_ZrTaRu
_chemical_formula_sum 'Zr1 Ta1 Ru1'
_cell_length_a 3.108
_cell_length_b 3.108
_cell_length_c 6.611
_cell_angle_alpha 90.00
_cell_angle_beta 90.00
_cell_angle_gamma 120.00
_symmetry_space_group_name_H-M 'P 1'
_symmetry_Int_Tables_number 1
_symmetry_space_group_name_Hall 'P 1'
loop_
_atom_site_label
_atom_site_fract_x
_atom_site_fract_y
_atom_site_fract_z
Zr1 0.000 0.000 0.000
Ta1 0.333 0.667 0.632
Ru1 0.667 0.333 0.336
# ΔE_f: -0.030 eV per atom
# ΔE to the lowest computed polymorph: 1.15 eV per formula unit
# Final energy: -9.92 eV per atom

# PBE ZrTaRu, optimized geometry
data_ZrTaRu
_chemical_formula_sum 'Zr2 Ta2 Ru2'
_cell_length_a 5.535
_cell_length_b 5.535
_cell_length_c 5.579
_cell_angle_alpha 120.21
_cell_angle_beta 120.21
_cell_angle_gamma 49.33
_symmetry_space_group_name_H-M 'P 1'
_symmetry_Int_Tables_number 1
_symmetry_space_group_name_Hall 'P 1'
loop_
_atom_site_label
_atom_site_fract_x
_atom_site_fract_y
_atom_site_fract_z
Zr1 0.170 0.170 0.255
Zr2 0.830 0.830 0.745
Ta1 0.479 0.479 0.227
Ta2 0.521 0.521 0.773
Ru1 0.172 0.172 0.753
Ru2 0.828 0.828 0.247
# ΔE_f: -0.267 eV per atom
# ΔE to the lowest computed polymorph: 0.44 eV per formula unit
# Final energy: -10.16 eV per atom